Computed, not measured: crystalline Dy5YSn4 at its relaxed geometry at the GGA-PBE level of DFT.

The structure belongs to space group C2/m (No. 12); the cell edges are 17.803, 4.424 and 7.978 Å and the angles 90.00°, 101.75° and 90.00°. Symmetry generates all atoms from Dy at (0.000, 0.000, 0.000), Dy at (0.140, 0.500, 0.225), Dy at (0.205, 0.500, 0.807), Y at (0.000, 0.000, 0.500), Sn at (0.035, 0.500, 0.774) and Sn at (0.188, 0.000, 0.512).

The energy relative to the elements is -407 meV per atom. The spin magnetization comes out at 0.735 μB per cell. Its crystal system is monoclinic. The calculation puts the energy at -4.955 eV per atom.

Computed, not measured: crystalline KSrTiBr6 at its relaxed geometry at the GGA-PBE level of DFT.

The structure belongs to space group P-31c (No. 163); the cell edges are 7.4665, 7.4665 and 13.9223 Å and the angles 90.00°, 90.00° and 120.00°. Symmetry generates all atoms from K at (0.0000, 0.0000, 0.0000), Sr at (0.3333, 0.6667, 0.2500), Ti at (0.3333, 0.6667, 0.7500) and Br at (0.0453, 0.3880, 0.6397).

The spin magnetization comes out at 2.000 μB per cell. The value obtained for the uncorrected formation energy is -1.609 eV/atom. Its crystal system is trigonal. The calculation puts the energy at -3.910 eV per atom.